KAsRuBr2, relaxed, DFT GGA-PBE; DOS(E_F) = 4.82 states/eV/f.u.; energy relative to the lowest polymorph listed for this composition = 1531.8 meV/atom; V = 216 Å³/cell; total energy = -2.51 eV per atom; uncorrected formation energy = 1160 meV per atom
1.0
-3.257 -2.999 4.049
2.075 -5.191 -2.176
4.595 0.220 3.859
Ru Br K As
1 2 1 1
direct
0.500 0.500 0.500
0.000 0.500 0.000
0.500 0.000 0.000
0.000 0.000 0.000
0.000 0.000 0.500